Density functional theory data (PBE-GGA) for YSc2Fe after structural relaxation.

a = 6.879 Å, b = 8.570 Å, c = 5.954 Å
α = 90.00°, β = 90.00°, γ = 90.00°
Positions (direct):
Y1 0.042 0.250 0.125
Y2 0.458 0.750 0.625
Y3 0.542 0.250 0.375
Y4 0.958 0.750 0.875
Sc1 0.172 0.066 0.661
Sc2 0.172 0.434 0.661
Sc3 0.328 0.566 0.161
Sc4 0.328 0.934 0.161
Sc5 0.672 0.066 0.839
Sc6 0.672 0.434 0.839
Sc7 0.828 0.566 0.339
Sc8 0.828 0.934 0.339
Fe1 0.111 0.750 0.436
Fe2 0.389 0.250 0.936
Fe3 0.611 0.750 0.064
Fe4 0.889 0.250 0.564

Properties
E_form	-48	meV per atom
uncorrected energy	-0.2552	Ha/atom